# 1
Density functional theory data (GGA-PBE) for Zn2IrOs after structural relaxation.

Cell: 2.713 4.369 4.868 Å, 90.00 92.46 90.00°
Space group P2/m (No. 10)
One atom of each set of equivalent atoms:
Zn1 0.231 0.000 0.248 x2
Ir1 0.000 0.500 0.500 x1
Os1 0.500 0.500 0.000 x1

Output
The energy above the most stable polymorph in this dataset is 10.52 kJ/mol of atoms. As for the crystal system: monoclinic. The calculated density is 14.78 g/cm3. The formation energy comes out at 0.122 eV/atom.

# 2
Density functional theory data (GGA-PBE) for GaNi2HRh after structural relaxation.

Cell: 3.577 3.577 4.119 Å, 90.00 90.00 90.00°
Space group P4/mmm (No. 123)
One atom of each set of equivalent atoms:
Ga1 0.000 0.000 0.000 x1
Ni1 0.000 0.500 0.500 x2
H1 0.000 0.000 0.500 x1
Rh1 0.500 0.500 0.000 x1

Output
The energy above the most stable polymorph in this dataset is 15.24 kJ/mol of atoms. As for the crystal system: tetragonal. The calculated density is 9.17 g/cm3.

# 3
Density functional theory data (GGA-PBE) for Ba6HPt2Cl2 after structural relaxation.

Cell: 7.863 13.485 8.225 Å, 90.00 108.77 90.00°
Space group C2/m (No. 12)
One atom of each set of equivalent atoms:
Ba1 0.244 0.000 0.217 x4
Ba2 0.244 0.334 0.227 x8
H1 0.000 0.500 0.000 x2
Pt1 0.000 0.170 0.000 x4
Cl1 0.000 0.333 0.500 x4

Output
As for the crystal system: monoclinic. The calculated density is 5.17 g/cm3.

# 4
Density functional theory data (GGA-PBE) for TmTa2MnC4 after structural relaxation.

Cell: 3.195 10.959 10.865 Å, 90.00 90.00 90.00°
Space group Cmcm (No. 63)
One atom of each set of equivalent atoms:
Tm1 0.000 0.104 0.250 x4
Ta1 0.000 0.369 0.042 x8
Mn1 0.000 0.161 0.750 x4
C1 0.000 0.000 0.000 x4
C2 0.000 0.265 0.619 x8
C3 0.000 0.430 0.250 x4

Output
As for the crystal system: orthorhombic. The calculated density is 11.07 g/cm3. The formation energy comes out at -0.374 eV/atom.

The calculation returns the following total energy values, one per record and in order: -5.538; -5.210; -3.837; -9.654 eV/atom.